# 1
VASP calculation (GGA-PBE) on a relaxed structure of ZrFe3N.

Calculated values
Its formation energy from raw total energies is 2.64 eV/atom. As for the spin magnetization: 7.17 μB per formula unit. The calculation puts the total energy at -5.814 eV per atom. As for the theoretical density: 4.6 g/cm³. The distance to the lowest polymorph of the same formula is 2850 meV per atom. Its space group is No. 221.

a = 4.617 Å, b = 4.617 Å, c = 4.617 Å
α = 90.00°, β = 90.00°, γ = 90.00°
Sites, in units of the cell vectors:
Zr: 0.000 0.000 0.000
Fe: 0.000 0.000 0.500
Fe: 0.000 0.500 0.000
Fe: 0.500 0.000 0.000
N: 0.500 0.500 0.500

=====

# 2
VASP calculation (GGA-PBE) on a relaxed structure of Tb5Nd3Sm2.

Calculated values
As for the spin magnetization: 0.00 μB per formula unit. The calculation puts the total energy at -4.310 eV per atom. As for the theoretical density: 7.1 g/cm³. The distance to the lowest polymorph of the same formula is 195 meV per atom. Its space group is No. 72. Its formation energy is 8.7 kcal/mol of atoms.

a = 10.002 Å, b = 10.002 Å, c = 10.002 Å
α = 123.48°, β = 93.11°, γ = 113.21°
Sites, in units of the cell vectors:
Tb: 0.002 0.250 0.752
Tb: 0.123 0.091 0.214
Tb: 0.250 0.250 0.000
Tb: 0.377 0.591 0.968
Tb: 0.498 0.250 0.248
Tb: 0.502 0.750 0.752
Tb: 0.623 0.409 0.032
Tb: 0.750 0.750 0.000
Tb: 0.877 0.909 0.786
Tb: 0.998 0.750 0.248
Nd: 0.127 0.750 0.877
Nd: 0.250 0.750 0.500
Nd: 0.373 0.250 0.623
Nd: 0.627 0.750 0.377
Nd: 0.750 0.250 0.500
Nd: 0.873 0.250 0.123
Sm: 0.126 0.401 0.527
Sm: 0.374 0.901 0.275
Sm: 0.626 0.099 0.725
Sm: 0.874 0.599 0.473

=====

# 3
VASP calculation (GGA-PBE) on a relaxed structure of Zr2Ti6Co.

Calculated values
As for the spin magnetization: 0.00 μB per formula unit. The calculation puts the total energy at -7.808 eV per atom. As for the theoretical density: 5.3 g/cm³. Its space group is No. 12. Its formation energy is 3.3 kcal/mol of atoms.

a = 8.182 Å, b = 8.182 Å, c = 2.908 Å
α = 90.30°, β = 90.30°, γ = 57.91°
Sites, in units of the cell vectors:
Zr: 0.164 0.164 0.496
Zr: 0.836 0.836 0.504
Ti: 0.167 0.498 0.000
Ti: 0.247 0.753 0.500
Ti: 0.498 0.167 0.000
Ti: 0.502 0.833 0.000
Ti: 0.753 0.247 0.500
Ti: 0.833 0.502 0.000
Co: 0.500 0.500 0.000

=====

# 4
VASP calculation (GGA-PBE) on a relaxed structure of LaMg2Cd.

Calculated values
As for the spin magnetization: 0.00 μB per formula unit. The calculation puts the total energy at -2.395 eV per atom. As for the theoretical density: 4.5 g/cm³. Its space group is No. 47. Its formation energy is -3.2 kcal/mol of atoms.

a = 4.628 Å, b = 4.751 Å, c = 4.995 Å
α = 90.00°, β = 90.00°, γ = 90.00°
Sites, in units of the cell vectors:
La: 0.000 0.000 0.000
Mg: 0.000 0.500 0.500
Mg: 0.500 0.000 0.500
Cd: 0.500 0.500 0.000

=====

# 5
VASP calculation (GGA-PBE) on a relaxed structure of Mg17Al11Cu.

Calculated values
As for the spin magnetization: 0.00 μB per formula unit. The calculation puts the total energy at -2.530 eV per atom. As for the theoretical density: 2.2 g/cm³. Its space group is No. 8. Its formation energy is -0.8 kcal/mol of atoms.

a = 9.059 Å, b = 9.059 Å, c = 9.054 Å
α = 109.38°, β = 109.38°, γ = 109.51°
Sites, in units of the cell vectors:
Mg: 0.000 0.000 0.000
Mg: 0.000 0.000 0.347
Mg: 0.000 0.658 0.347
Mg: 0.284 0.599 0.944
Mg: 0.315 0.315 0.056
Mg: 0.317 0.715 0.660
Mg: 0.349 0.349 0.688
Mg: 0.398 0.999 0.028
Mg: 0.402 0.685 0.344
Mg: 0.599 0.284 0.944
Mg: 0.609 0.609 0.627
Mg: 0.658 0.000 0.347
Mg: 0.685 0.402 0.344
Mg: 0.687 0.997 0.737
Mg: 0.715 0.317 0.660
Mg: 0.997 0.687 0.737
Mg: 0.999 0.398 0.028
Al: 0.001 0.366 0.530
Al: 0.178 0.996 0.706
Al: 0.180 0.815 0.158
Al: 0.185 0.366 0.343
Al: 0.366 0.001 0.530
Al: 0.366 0.185 0.343
Al: 0.633 0.817 0.979
Al: 0.641 0.641 0.179
Al: 0.815 0.180 0.158
Al: 0.817 0.633 0.979
Al: 0.996 0.178 0.706
Cu: 0.821 0.821 0.524

=====

# 6
VASP calculation (GGA-PBE) on a relaxed structure of Pu3AlAu3.

Calculated values
As for the spin magnetization: 17.58 μB per formula unit. The calculation puts the total energy at -8.236 eV per atom. As for the theoretical density: 12.7 g/cm³. Its space group is No. 176. Its formation energy is -3.6 kcal/mol of atoms.

a = 8.750 Å, b = 8.750 Å, c = 5.321 Å
α = 90.00°, β = 90.00°, γ = 120.00°
Sites, in units of the cell vectors:
Pu: 0.012 0.763 0.250
Pu: 0.237 0.249 0.250
Pu: 0.249 0.012 0.750
Pu: 0.751 0.988 0.250
Pu: 0.763 0.751 0.750
Pu: 0.988 0.237 0.750
Al: 0.333 0.667 0.750
Al: 0.667 0.333 0.250
Au: 0.014 0.597 0.750
Au: 0.403 0.417 0.750
Au: 0.417 0.014 0.250
Au: 0.583 0.986 0.750
Au: 0.597 0.583 0.250
Au: 0.986 0.403 0.250